No. 1
## NiSb4 (PBE)

Data for a relaxed NiSb4 crystal.

Calculated values
Total energy (eV per cell): -20.8
V (Å³ per atom): 25.57
SG: Pm-3m, No. 221
Spin magnetization (μB/f.u.): 0.00

a b c (Å): 5.038 5.038 5.038
angles (deg): 90.00 90.00 90.00
Positions (direct):
Ni: 0.500 0.500 0.500
Sb: 0.500 0.500 0.000
Sb: 0.500 0.000 0.500
Sb: 0.000 0.000 0.000
Sb: 0.000 0.500 0.500

No. 2
## NiSb3 (PBE)

Data for a relaxed NiSb3 crystal.

Calculated values
Total energy (eV per cell): -18.1
V (Å³ per atom): 25.07
SG: Imm2, No. 44
Spin magnetization (μB/f.u.): 0.00

a b c (Å): 3.187 5.268 6.720
angles (deg): 113.08 103.72 90.00
Positions (direct):
Sb: 0.500 0.420 0.000
Sb: 0.343 0.696 0.686
Ni: 0.000 0.041 0.000
Sb: 0.657 0.010 0.314

No. 3
## NiSb (PBE)

Data for a relaxed NiSb crystal.

Calculated values
Total energy (eV per cell): -17.7
V (Å³ per atom): 18.38
SG: Fd-3m, No. 227
Spin magnetization (μB/f.u.): 0.00

a b c (Å): 4.702 4.702 4.702
angles (deg): 60.00 60.00 60.00
Positions (direct):
Ni: 0.000 0.000 0.000
Ni: 0.250 0.250 0.250
Sb: 0.750 0.750 0.750
Sb: 0.500 0.500 0.500

No. 4
## NiSb4 (PBE)

Data for a relaxed NiSb4 crystal.

Calculated values
Total energy (eV per cell): -44.6
V (Å³ per atom): 24.63
SG: C2/c, No. 15
Spin magnetization (μB/f.u.): 0.00

a b c (Å): 7.953 6.508 8.879
angles (deg): 42.61 63.39 52.34
Positions (direct):
Sb: 0.442 0.784 0.033
Sb: 0.935 0.226 0.080
Sb: 0.558 0.216 0.967
Sb: 0.259 0.716 0.467
Ni: 0.140 0.250 0.750
Sb: 0.741 0.284 0.533
Ni: 0.860 0.750 0.250
Sb: 0.065 0.774 0.920
Sb: 0.241 0.274 0.420
Sb: 0.759 0.726 0.580

No. 5
## Ni5Sb4 (PBE)

Data for a relaxed Ni5Sb4 crystal.

Calculated values
Total energy (eV per cell): -88.6
V (Å³ per atom): 16.71
SG: P6_3/mcm, No. 193
Spin magnetization (μB/f.u.): 0.00

a b c (Å): 7.632 7.632 5.962
angles (deg): 90.00 90.00 120.00
Positions (direct):
Sb: 0.000 0.623 0.750
Ni: 0.301 0.301 0.250
Sb: 0.377 0.377 0.750
Sb: 0.623 0.623 0.250
Ni: 0.667 0.333 0.000
Ni: 0.000 0.699 0.250
Ni: 0.000 0.301 0.750
Ni: 0.333 0.667 0.000
Ni: 0.301 0.000 0.750
Sb: 0.000 0.377 0.250
Sb: 0.377 0.000 0.250
Ni: 0.699 0.699 0.750
Ni: 0.333 0.667 0.500
Sb: 0.000 0.000 0.000
Ni: 0.699 0.000 0.250
Ni: 0.667 0.333 0.500
Sb: 0.000 0.000 0.500
Sb: 0.623 0.000 0.750

No. 6
## NiSb (PBE)

Data for a relaxed NiSb crystal.

Calculated values
Total energy (eV per cell): -35.6
V (Å³ per atom): 19.53
SG: P6_3/mmc, No. 194
Spin magnetization (μB/f.u.): 0.00

a b c (Å): 4.985 4.985 7.258
angles (deg): 90.00 90.00 120.00
Positions (direct):
Ni: 0.333 0.667 0.412
Sb: 0.000 0.000 0.250
Ni: 0.667 0.333 0.912
Ni: 0.667 0.333 0.588
Sb: 0.000 0.000 0.750
Ni: 0.333 0.667 0.088
Sb: 0.333 0.667 0.750
Sb: 0.667 0.333 0.250

No. 7
## NiSb (PBE)

Data for a relaxed NiSb crystal.

Calculated values
Total energy (eV per cell): -20.3
V (Å³ per atom): 17.05
SG: P2_1/m, No. 11
Spin magnetization (μB/f.u.): 0.00

a b c (Å): 3.925 3.610 5.123
angles (deg): 69.93 90.00 90.00
Positions (direct):
Sb: 0.000 0.518 0.596
Ni: 0.500 0.962 0.708
Ni: 0.000 0.788 0.042
Sb: 0.500 0.232 0.154

No. 8
## NiSb (PBE)

Data for a relaxed NiSb crystal.

Calculated values
Total energy (eV per cell): -20.1
V (Å³ per atom): 19.53
SG: P3m1, No. 156
Spin magnetization (μB/f.u.): 0.00

a b c (Å): 4.170 4.170 5.188
angles (deg): 90.00 90.00 120.00
Positions (direct):
Sb: 0.667 0.333 0.013
Sb: 0.333 0.667 0.501
Ni: 0.333 0.667 0.000
Ni: 0.000 0.000 0.264

No. 9
## NiSb3 (PBE)

Data for a relaxed NiSb3 crystal.

Calculated values
Total energy (eV per cell): -17.0
V (Å³ per atom): 24.29
SG: Im-3m, No. 229
Spin magnetization (μB/f.u.): 0.00

a b c (Å): 5.016 5.016 5.016
angles (deg): 109.47 109.47 109.47
Positions (direct):
Sb: 0.500 0.000 0.500
Ni: 0.000 0.000 0.000
Sb: 0.000 0.500 0.500
Sb: 0.500 0.500 0.000

No. 10
## NiSb2 (PBE)

Data for a relaxed NiSb2 crystal.

Calculated values
Total energy (eV per cell): -14.2
V (Å³ per atom): 21.98
SG: Fm-3m, No. 225
Spin magnetization (μB/f.u.): 0.00

a b c (Å): 4.535 4.535 4.535
angles (deg): 60.00 60.00 60.00
Positions (direct):
Sb: 0.250 0.250 0.250
Sb: 0.750 0.750 0.750
Ni: 0.000 0.000 0.000

No. 11
## NiSb3 (PBE)

Data for a relaxed NiSb3 crystal.

Calculated values
Total energy (eV per cell): -32.3
V (Å³ per atom): 23.47
SG: Pm-3n, No. 223
Spin magnetization (μB/f.u.): 0.00

a b c (Å): 5.726 5.726 5.726
angles (deg): 90.00 90.00 90.00
Positions (direct):
Ni: 0.500 0.500 0.500
Sb: 0.000 0.250 0.500
Sb: 0.250 0.500 0.000
Sb: 0.000 0.750 0.500
Ni: 0.000 0.000 0.000
Sb: 0.500 0.000 0.250
Sb: 0.500 0.000 0.750
Sb: 0.750 0.500 0.000

No. 12
## NiSb2 (PBE)

Data for a relaxed NiSb2 crystal.

Calculated values
Total energy (eV per cell): -28.0
V (Å³ per atom): 22.32
SG: I4_1/amd, No. 141
Spin magnetization (μB/f.u.): 0.00

a b c (Å): 13.302 13.302 13.302
angles (deg): 166.20 166.20 19.56
Positions (direct):
Ni: 0.000 0.000 0.000
Sb: 0.438 0.438 0.000
Ni: 0.750 0.250 0.500
Sb: 0.188 0.688 0.500
Sb: 0.562 0.562 0.000
Sb: 0.312 0.812 0.500